Entry 1:
A relaxed structure of HgIr2Rh. Source: the Alexandria database, functional PBE-GGA.

Computed properties:
Electronic total energy ... -48.22 eV/cell
Mass density ... 17.88 g/cm3

Cell lengths 9.1830, 2.8262, 4.9957 Å; angles 90.00, 99.82, 90.00 degrees
Space group Cm (No. 8)
Symmetry-distinct sites (fractional):
1 Hg 0.0000 0.0000 0.0000 [2 per cell]
2 Ir 0.9998 0.5000 0.5034 [2 per cell]
3 Ir 0.2404 0.0000 0.7032 [2 per cell]
4 Rh 0.2573 0.5000 0.2536 [2 per cell]

***

Entry 2:
A relaxed structure of HgIr2Rh. Source: the Alexandria database, functional PBE-GGA.

Computed properties:
Electronic total energy ... -72.12 eV/cell
Mass density ... 17.93 g/cm3

Cell lengths 2.8249, 2.8249, 27.6572 Å; angles 90.00, 90.00, 120.00 degrees
Space group R-3m (No. 166, hexagonal axes)
Symmetry-distinct sites (fractional):
1 Hg 0.0000 0.0000 0.0000 [3 per cell]
2 Ir 0.0000 0.0000 0.2437 [6 per cell]
3 Rh 0.0000 0.0000 0.5000 [3 per cell]

***

Entry 3:
A relaxed structure of HgIrRh2. Source: the Alexandria database, functional PBE-GGA.

Computed properties:
Electronic total energy ... -22.80 eV/cell
Mass density ... 15.72 g/cm3

Cell lengths 2.8110, 4.5762, 4.9145 Å; angles 90.00, 90.00, 90.00 degrees
Space group Pmm2 (No. 25)
Symmetry-distinct sites (fractional):
1 Hg 0.0000 0.0000 0.0000 [1 per cell]
2 Ir 0.0000 0.5000 0.6460 [1 per cell]
3 Rh 0.5000 0.0000 0.5022 [1 per cell]
4 Rh 0.5000 0.5000 0.1802 [1 per cell]

***

Number 1: volume 63.9 Å³/f.u., energy of formation 1.3 eV/f.u.. Number 2: volume 63.7 Å³/f.u., energy of formation 1.3 eV/f.u.. Number 3: volume 63.2 Å³/f.u., energy of formation 1.1 eV/f.u..